# 1
# AlCd2In GGA-PBE optimized geometry
data_AlCd2In
_cell_length_a 4.7753
_cell_length_b 4.7753
_cell_length_c 14.8528
_cell_angle_alpha 90.00
_cell_angle_beta 90.00
_cell_angle_gamma 120.00
_space_group_name_H-M_alt 'R 3 m'
_space_group_IT_number 160
_space_group_name_Hall 'R 3 -2"'
loop_
_atom_site_label
_atom_site_fract_x
_atom_site_fract_y
_atom_site_fract_z
Al1 0.0000 0.0000 0.0000
Cd1 0.0000 0.0000 0.3643
Cd2 0.0000 0.0000 0.5764
In1 0.0000 0.0000 0.8009
# Electronic total energy in eV/atom: -1.93
# Spin magnetization in μB/atom: 0.00
# Offset from the most stable computed form in eV per atom: 0.073
# Volume in Å³/atom: 24.4
# ΔE_f in eV per formula unit: 0.6

---

# 2
# Li3Hg3Pd2 GGA-PBE optimized geometry
data_Li3Hg3Pd2
_cell_length_a 3.985
_cell_length_b 9.086
_cell_length_c 15.355
_cell_angle_alpha 90.00
_cell_angle_beta 90.00
_cell_angle_gamma 90.00
_space_group_name_H-M_alt 'C m c m'
_space_group_IT_number 63
_space_group_name_Hall '-C 2c 2'
loop_
_atom_site_label
_atom_site_fract_x
_atom_site_fract_y
_atom_site_fract_z
Li1 0.000 0.056 0.097
Li2 0.000 0.181 0.250
Hg1 0.000 0.355 0.039
Hg2 0.000 0.477 0.250
Pd1 0.000 0.231 0.659
# Electronic total energy in eV/atom: -2.44
# Spin magnetization in μB/atom: 0.00
# Offset from the most stable computed form in eV per atom: 0.054
# Volume in Å³/atom: 17.4
# ΔE_f in eV per formula unit: -2.5

---

# 3
# LaHfBe2 GGA-PBE optimized geometry
data_LaHfBe2
_cell_length_a 7.511
_cell_length_b 7.511
_cell_length_c 5.834
_cell_angle_alpha 90.00
_cell_angle_beta 90.00
_cell_angle_gamma 90.00
_space_group_name_H-M_alt 'I -4 2 d'
_space_group_IT_number 122
_space_group_name_Hall 'I -4 2bw'
loop_
_atom_site_label
_atom_site_fract_x
_atom_site_fract_y
_atom_site_fract_z
La1 0.000 0.000 0.000
Hf1 0.000 0.000 0.500
Be1 0.211 0.750 0.625
# Electronic total energy in eV/atom: -4.87
# Spin magnetization in μB/atom: 0.00
# Offset from the most stable computed form in eV per atom: 0.440
# Volume in Å³/atom: 20.6
# ΔE_f in eV per formula unit: 2.8